No. 1
A relaxed LaCeMg2Tl4 crystal. Source: Alexandria, functional PBE.

The value obtained for the density of states at the Fermi level is 9.3 states/eV/f.u. The calculation puts the formation energy at -2.079 eV/f.u.

a = 5.375 Å, b = 5.375 Å, c = 9.296 Å
α = 73.19°, β = 73.19°, γ = 60.00°
Site moments in Bohr magnetons follow the coordinates.
Atoms (fractional coordinates):
Mg 0.250 0.250 0.251  0.00
Ce 0.500 0.500 0.500  0.84
Mg 0.750 0.750 0.749  0.00
Tl 0.874 0.874 0.379  0.01
Tl 0.376 0.376 0.871  0.01
Tl 0.624 0.624 0.129  0.01
Tl 0.126 0.126 0.621  0.01
La 0.000 0.000 0.000  0.01

=====

No. 2
A relaxed YGeI crystal. Source: Alexandria, functional PBE.

The value obtained for the density of states at the Fermi level is 0.8 states/eV/f.u.

a = 6.356 Å, b = 8.158 Å, c = 15.649 Å
α = 152.28°, β = 89.84°, γ = 112.95°
Atoms (fractional coordinates):
Ge 0.714 0.428 0.250
I 0.567 0.133 0.750
Y 0.909 0.818 0.250
Ge 0.286 0.572 0.750
Y 0.091 0.182 0.750
I 0.433 0.867 0.250

=====

No. 3
A relaxed TbTl3 crystal. Source: Alexandria, functional PBE.

The value obtained for the density of states at the Fermi level is 3.0 states/eV/f.u. The calculation puts the formation energy at -0.705 eV/f.u.

a = 4.659 Å, b = 4.659 Å, c = 6.066 Å
α = 112.58°, β = 112.58°, γ = 90.00°
Atoms (fractional coordinates):
Tl 0.750 0.250 0.500
Tl 0.250 0.750 0.500
Tb 0.000 0.000 0.000
Tl 0.500 0.500 0.000

=====

No. 4
A relaxed Re3WS crystal. Source: Alexandria, functional PBE.

The value obtained for the density of states at the Fermi level is 3.7 states/eV/f.u. The value obtained for the distance to the lowest polymorph of the same formula is 0 meV/atom.

a = 4.323 Å, b = 4.323 Å, c = 4.323 Å
α = 90.00°, β = 90.00°, γ = 90.00°
Atoms (fractional coordinates):
W 0.500 0.500 0.500
Re 0.000 0.000 0.500
Re 0.000 0.500 0.000
Re 0.500 0.000 0.000
S 0.000 0.000 0.000

=====

No. 5
A relaxed ZrTaTl3 crystal. Source: Alexandria, functional PBE.

The value obtained for the density of states at the Fermi level is 3.8 states/eV/f.u. The value obtained for the distance to the lowest polymorph of the same formula is 0 meV/atom. The calculation puts the formation energy at 5.587 eV/f.u.

a = 5.351 Å, b = 5.351 Å, c = 5.351 Å
α = 90.00°, β = 90.00°, γ = 90.00°
Atoms (fractional coordinates):
Ta 0.000 0.000 0.000
Tl 0.500 0.000 0.000
Zr 0.500 0.500 0.500
Tl 0.000 0.500 0.000
Tl 0.000 0.000 0.500

=====

No. 6
A relaxed PrMn2Se4 crystal. Source: Alexandria, functional PBE.

The value obtained for the density of states at the Fermi level is 2.0 states/eV/f.u. The value obtained for the distance to the lowest polymorph of the same formula is 39 meV/atom.

a = 7.389 Å, b = 7.390 Å, c = 8.111 Å
α = 105.80°, β = 105.79°, γ = 113.74°
Site moments in Bohr magnetons follow the coordinates.
Atoms (fractional coordinates):
Mn 0.603 0.822 0.184  4.02
Mn 0.072 0.353 0.684  4.02
Se 0.256 0.139 0.749  -0.01
Se 0.483 0.678 0.819  0.02
Se 0.389 0.006 0.249  -0.01
Se 0.928 0.233 0.319  0.02
Mn 0.668 0.388 0.316  4.02
Se 0.390 0.507 0.251  -0.01
Se 0.859 0.664 0.181  0.02
Se 0.757 0.140 0.751  -0.01
Mn 0.638 0.419 0.816  4.02
Se 0.915 0.609 0.681  0.02
Pr 0.021 0.021 0.000  0.09
Pr 0.271 0.771 0.500  0.09

=====

No. 7
A relaxed ScRh2SO crystal. Source: Alexandria, functional PBE.

The value obtained for the density of states at the Fermi level is 7.0 states/eV/f.u.

a = 4.894 Å, b = 3.790 Å, c = 4.894 Å
α = 90.00°, β = 90.00°, γ = 90.00°
Site moments in Bohr magnetons follow the coordinates.
Atoms (fractional coordinates):
O 0.000 0.500 0.000  0.16
Sc 0.000 0.000 0.000  -0.06
S 0.500 0.500 0.500  0.07
Rh 0.000 0.000 0.500  0.64
Rh 0.500 0.000 0.000  0.69

=====

No. 8
A relaxed MgH2I crystal. Source: Alexandria, functional PBE.

The value obtained for the density of states at the Fermi level is 2.0 states/eV/f.u. The value obtained for the distance to the lowest polymorph of the same formula is 0 meV/atom.

a = 5.930 Å, b = 5.930 Å, c = 5.951 Å
α = 60.12°, β = 60.12°, γ = 90.00°
Site moments in Bohr magnetons follow the coordinates.
Atoms (fractional coordinates):
I 0.750 0.250 0.500  0.59
I 0.000 0.000 0.000  0.59
Mg 0.250 0.750 0.500  0.00
Mg 0.500 0.500 0.000  0.00
H 0.875 0.625 0.750  0.02
H 0.375 0.625 0.750  0.03
H 0.375 0.625 0.250  0.03
H 0.375 0.125 0.250  0.03

=====

What did we get for mass density? Answer: 8.67 4.59 11.60 15.92 9.59 5.35 5.47 3.43 Mg/m³, in the order shown.
What did we get for DFT total energy? Answer: -3.1993 -4.8858 -3.1084 -9.8177 -4.3824 -6.1891 -5.8334 -2.3427 eV/atom, in the order shown.